1.
An optimized crystal structure of Y7HoEr5. Source: Alexandria, functional PBE-GGA.

The structure in CIF format:
```
data_Y7HoEr5
_chemical_formula_sum 'Y14 Ho2 Er10'
_cell_length_a 6.638
_cell_length_b 11.180
_cell_length_c 11.517
_cell_angle_alpha 90.00
_cell_angle_beta 90.00
_cell_angle_gamma 90.00
_space_group_name_H-M_alt 'I m m 2'
_space_group_IT_number 44
_space_group_name_Hall 'I 2 -2'
loop_
_atom_site_label
_atom_site_fract_x
_atom_site_fract_y
_atom_site_fract_z
Y1 0.000 0.000 0.000
Y2 0.000 0.000 0.312
Y3 0.000 0.326 0.556
Y4 0.000 0.331 0.054
Y5 0.000 0.500 0.307
Ho1 0.000 0.000 0.619
Er1 0.000 0.500 0.801
Er2 0.233 0.228 0.806
```

Computed properties:
Uncorrected energy in eV/atom: -5.3393

***

2.
An optimized crystal structure of LaNdN. Source: Alexandria, functional PBE-GGA.

The structure in CIF format:
```
data_LaNdN
_chemical_formula_sum 'La1 Nd1 N1'
_cell_length_a 3.6552
_cell_length_b 3.6552
_cell_length_c 6.5957
_cell_angle_alpha 90.00
_cell_angle_beta 90.00
_cell_angle_gamma 120.00
_space_group_name_H-M_alt 'P 3 m 1'
_space_group_IT_number 156
_space_group_name_Hall 'P 3 -2"'
loop_
_atom_site_label
_atom_site_fract_x
_atom_site_fract_y
_atom_site_fract_z
La1 0.0000 0.0000 0.0000
Nd1 0.6667 0.3333 0.5771
N1 0.3333 0.6667 0.7857
```

Computed properties:
Energy relative to the lowest polymorph listed for this composition in kJ/mol of atoms: 0.0

***

3.
An optimized crystal structure of RuIBr. Source: Alexandria, functional PBE-GGA.

The structure in CIF format:
```
data_RuIBr
_chemical_formula_sum 'Ru4 I4 Br4'
_cell_length_a 3.905
_cell_length_b 6.763
_cell_length_c 13.062
_cell_angle_alpha 90.00
_cell_angle_beta 90.00
_cell_angle_gamma 90.00
_space_group_name_H-M_alt 'C m c 21'
_space_group_IT_number 36
_space_group_name_Hall 'C 2c -2'
loop_
_atom_site_label
_atom_site_fract_x
_atom_site_fract_y
_atom_site_fract_z
Ru1 0.000 0.166 0.000
I1 0.000 0.499 0.898
Br1 0.000 0.168 0.608
```

Computed properties:
Uncorrected energy in eV/atom: -4.1866

***

4.
An optimized crystal structure of AcCeAsCl. Source: Alexandria, functional PBE-GGA.

The structure in CIF format:
```
data_AcCeAsCl
_chemical_formula_sum 'Ac4 Ce4 As4 Cl4'
_cell_length_a 7.466
_cell_length_b 7.466
_cell_length_c 7.466
_cell_angle_alpha 90.00
_cell_angle_beta 90.00
_cell_angle_gamma 90.00
_space_group_name_H-M_alt 'F -4 3 m'
_space_group_IT_number 216
_space_group_name_Hall 'F -4 2 3'
loop_
_atom_site_label
_atom_site_fract_x
_atom_site_fract_y
_atom_site_fract_z
Ac1 0.000 0.000 0.000
Ce1 0.000 0.000 0.500
As1 0.250 0.250 0.750
Cl1 0.250 0.250 0.250
```

Computed properties:
Uncorrected energy in eV/atom: -5.4030